The following is a PBE calculation of a relaxed CoRu4Au crystal, from Alexandria.

Summary:
Energy of formation, eV per formula unit: 4.32
Space-group type: F-43m (216)
Crystal system: cubic
DOS at the Fermi energy, states/eV per cell: 9.55

Cell and atoms, written as extended XYZ:
```
6
Lattice="0.000 3.596 3.596 3.596 0.000 3.596 3.596 3.596 0.000" Properties=species:S:1:pos:R:3 pbc="T T T"
Co 0.000 0.000 0.000
Ru 4.495 2.696 2.696
Ru 2.696 4.495 2.696
Ru 2.696 2.696 4.495
Ru 4.495 4.495 4.495
Au 1.798 1.798 1.798
```